# 1
Entry from Alexandria via LeMat-Bulk: CaZr3I after structural relaxation (PBE).

Cell lengths 5.349, 5.349, 5.349 Å; angles 90.00, 90.00, 90.00 degrees
Space group Pm-3m (No. 221)
Symmetry-distinct sites (fractional):
Ca  0.000  0.000  0.000
Zr  0.000  0.500  0.500
I  0.500  0.500  0.500

Values from the calculation:
**Excess energy over the best structure of this formula in the dataset**: 0.000 eV per formula unit

***

# 2
Entry from Alexandria via LeMat-Bulk: CeB4 after structural relaxation (PBE).

Cell lengths 4.627, 4.627, 4.627 Å; angles 90.00, 90.00, 90.00 degrees
Space group Pm-3m (No. 221)
Symmetry-distinct sites (fractional):
Ce  0.000  0.000  0.000
B  0.000  0.000  0.500
B  0.500  0.500  0.500

Values from the calculation:
**Excess energy over the best structure of this formula in the dataset**: 18.560 eV per formula unit

***

# 3
Entry from Alexandria via LeMat-Bulk: Th2P4Ru5 after structural relaxation (PBE).

Cell lengths 5.579, 9.746, 13.736 Å; angles 90.00, 90.00, 90.00 degrees
Space group Fmmm (No. 69)
Symmetry-distinct sites (fractional):
Th  0.000  0.000  0.133
P  0.000  0.158  0.370
Ru  0.000  0.000  0.500
Ru  0.250  0.250  0.000
Ru  0.250  0.250  0.250

***

no.,final energy (hartree per atom),D(E_F) (states/eV per atom)
1,-0.1913,1.25
2,-0.1266,1.26
3,-0.3068,0.58